*w*
Entry from Alexandria via LeMat-Bulk: crystalline CrSiBi3 at its relaxed geometry (GGA-PBE).

The structure belongs to space group Pm-3m (No. 221); the cell edges are 5.3417, 5.3417 and 5.3417 Å and the angles 90.00°, 90.00° and 90.00°. The distinct sites, in fractional coordinates, are Cr at (0.0000, 0.0000, 0.0000), Si at (0.5000, 0.5000, 0.5000) and Bi at (0.0000, 0.5000, 0.5000).

The volume is 30.48 Å³ per atom.

***

*x*
Entry from Alexandria via LeMat-Bulk: crystalline CrSiBi3 at its relaxed geometry (GGA-PBE).

The structure belongs to space group Pm-3m (No. 221); the cell edges are 5.2248, 5.2248 and 5.2248 Å and the angles 90.00°, 90.00° and 90.00°. The distinct sites, in fractional coordinates, are Cr at (0.0000, 0.0000, 0.0000), Si at (0.5000, 0.5000, 0.5000) and Bi at (0.0000, 0.0000, 0.5000).

The volume is 28.53 Å³ per atom.

***

Least stable: *w*

***

*w*
Entry from Alexandria via LeMat-Bulk: crystalline Cr2SnBi at its relaxed geometry (GGA-PBE).

The structure belongs to space group Fm-3m (No. 225); the cell edges are 7.0563, 7.0563 and 7.0563 Å and the angles 90.00°, 90.00° and 90.00°. The distinct sites, in fractional coordinates, are Cr at (0.2500, 0.2500, 0.2500), Sn at (0.0000, 0.0000, 0.0000) and Bi at (0.0000, 0.0000, 0.5000).

The volume is 21.96 Å³ per atom.

***

*x*
Entry from Alexandria via LeMat-Bulk: crystalline Cr2SnBi at its relaxed geometry (GGA-PBE).

The structure belongs to space group I-42d (No. 122); the cell edges are 7.6242, 7.6242 and 6.3571 Å and the angles 90.00°, 90.00° and 90.00°. The distinct sites, in fractional coordinates, are Cr at (0.2386, 0.2500, 0.1250), Sn at (0.0000, 0.0000, 0.0000) and Bi at (0.0000, 0.0000, 0.5000).

The volume is 23.10 Å³ per atom.

***

Least stable: *x*

***

*w*
Entry from Alexandria via LeMat-Bulk: crystalline SrCrBi2 at its relaxed geometry (GGA-PBE).

The structure belongs to space group I-42d (No. 122); the cell edges are 8.5525, 8.5525 and 6.7244 Å and the angles 90.00°, 90.00° and 90.00°. The distinct sites, in fractional coordinates, are Sr at (0.0000, 0.0000, 0.0000), Cr at (0.0000, 0.0000, 0.5000) and Bi at (0.2005, 0.2500, 0.6250).

The volume is 30.74 Å³ per atom.

***

*x*
Entry from Alexandria via LeMat-Bulk: crystalline SrCrBi2 at its relaxed geometry (GGA-PBE).

The structure belongs to space group Fm-3m (No. 225); the cell edges are 7.7592, 7.7592 and 7.7592 Å and the angles 90.00°, 90.00° and 90.00°. The distinct sites, in fractional coordinates, are Sr at (0.0000, 0.0000, 0.0000), Cr at (0.0000, 0.0000, 0.5000) and Bi at (0.2500, 0.2500, 0.2500).

The volume is 29.20 Å³ per atom.

***

Least stable: *x*

***

*w*
Entry from Alexandria via LeMat-Bulk: crystalline TaCrBi3 at its relaxed geometry (GGA-PBE).

The structure belongs to space group Pm-3m (No. 221); the cell edges are 5.5004, 5.5004 and 5.5004 Å and the angles 90.00°, 90.00° and 90.00°. The distinct sites, in fractional coordinates, are Ta at (0.0000, 0.0000, 0.0000), Cr at (0.5000, 0.5000, 0.5000) and Bi at (0.0000, 0.0000, 0.5000).

The volume is 33.28 Å³ per atom.

***

*x*
Entry from Alexandria via LeMat-Bulk: crystalline TaCrBi3 at its relaxed geometry (GGA-PBE).

The structure belongs to space group Pm-3m (No. 221); the cell edges are 5.2090, 5.2090 and 5.2090 Å and the angles 90.00°, 90.00° and 90.00°. The distinct sites, in fractional coordinates, are Ta at (0.0000, 0.0000, 0.0000), Cr at (0.5000, 0.5000, 0.5000) and Bi at (0.0000, 0.5000, 0.5000).

The volume is 28.27 Å³ per atom.

***

Least stable: *x*

***

*w*
Entry from Alexandria via LeMat-Bulk: crystalline CrTcBi2 at its relaxed geometry (GGA-PBE).

The structure belongs to space group I-42d (No. 122); the cell edges are 6.3607, 6.3607 and 11.5612 Å and the angles 90.00°, 90.00° and 90.00°. The distinct sites, in fractional coordinates, are Cr at (0.0000, 0.0000, 0.0000), Tc at (0.0000, 0.0000, 0.5000) and Bi at (0.2483, 0.2500, 0.1250).

The volume is 29.23 Å³ per atom.

***

*x*
Entry from Alexandria via LeMat-Bulk: crystalline CrTcBi2 at its relaxed geometry (GGA-PBE).

The structure belongs to space group Fm-3m (No. 225); the cell edges are 6.9292, 6.9292 and 6.9292 Å and the angles 90.00°, 90.00° and 90.00°. The distinct sites, in fractional coordinates, are Cr at (0.0000, 0.0000, 0.0000), Tc at (0.0000, 0.0000, 0.5000) and Bi at (0.2500, 0.2500, 0.2500).

The volume is 20.79 Å³ per atom.

***

Least stable: *w*

***

*w*
Entry from Alexandria via LeMat-Bulk: crystalline CrBiTe3 at its relaxed geometry (GGA-PBE).

The structure belongs to space group Pm-3m (No. 221); the cell edges are 5.8686, 5.8686 and 5.8686 Å and the angles 90.00°, 90.00° and 90.00°. The distinct sites, in fractional coordinates, are Cr at (0.0000, 0.0000, 0.0000), Bi at (0.5000, 0.5000, 0.5000) and Te at (0.0000, 0.5000, 0.5000).

The volume is 40.42 Å³ per atom.

***

*x*
Entry from Alexandria via LeMat-Bulk: crystalline CrBiTe3 at its relaxed geometry (GGA-PBE).

The structure belongs to space group Pm-3m (No. 221); the cell edges are 5.1239, 5.1239 and 5.1239 Å and the angles 90.00°, 90.00° and 90.00°. The distinct sites, in fractional coordinates, are Cr at (0.0000, 0.0000, 0.0000), Bi at (0.5000, 0.5000, 0.5000) and Te at (0.0000, 0.0000, 0.5000).

The volume is 26.90 Å³ per atom.

***

Least stable: *w*

***

*w*
Entry from Alexandria via LeMat-Bulk: crystalline Cr2BiTe at its relaxed geometry (GGA-PBE).

The structure belongs to space group Fm-3m (No. 225); the cell edges are 7.1037, 7.1037 and 7.1037 Å and the angles 90.00°, 90.00° and 90.00°. The distinct sites, in fractional coordinates, are Cr at (0.2500, 0.2500, 0.2500), Bi at (0.0000, 0.0000, 0.0000) and Te at (0.0000, 0.0000, 0.5000).

The volume is 22.40 Å³ per atom.

***

*x*
Entry from Alexandria via LeMat-Bulk: crystalline Cr2BiTe at its relaxed geometry (GGA-PBE).

The structure belongs to space group I-42d (No. 122); the cell edges are 6.0993, 6.0993 and 13.2863 Å and the angles 90.00°, 90.00° and 90.00°. The distinct sites, in fractional coordinates, are Cr at (0.2379, 0.2500, 0.1250), Bi at (0.0000, 0.0000, 0.5000) and Te at (0.0000, 0.0000, 0.0000).

The volume is 30.89 Å³ per atom.

***

Least stable: *x*

***

*w*
Entry from Alexandria via LeMat-Bulk: crystalline Ti2CrBi2 at its relaxed geometry (GGA-PBE).

The structure belongs to space group I4/mmm (No. 139); the cell edges are 4.1550, 4.1550 and 13.7110 Å and the angles 90.00°, 90.00° and 90.00°. The distinct sites, in fractional coordinates, are Ti at (0.0000, 0.0000, 0.0883), Cr at (0.0000, 0.0000, 0.5000) and Bi at (0.0000, 0.5000, 0.2500).

The volume is 23.67 Å³ per atom.

***

*x*
Entry from Alexandria via LeMat-Bulk: crystalline Ti2CrBi2 at its relaxed geometry (GGA-PBE).

The structure belongs to space group P4/mbm (No. 127); the cell edges are 6.6477, 6.6477 and 4.6998 Å and the angles 90.00°, 90.00° and 90.00°. The distinct sites, in fractional coordinates, are Ti at (0.1573, 0.3427, 0.0000), Cr at (0.0000, 0.0000, 0.0000) and Bi at (0.1749, 0.6749, 0.5000).

The volume is 20.77 Å³ per atom.

***

Least stable: *w*

***

*w*
Entry from Alexandria via LeMat-Bulk: crystalline TiCrBi2 at its relaxed geometry (GGA-PBE).

The structure belongs to space group Fm-3m (No. 225); the cell edges are 6.8745, 6.8745 and 6.8745 Å and the angles 90.00°, 90.00° and 90.00°. The distinct sites, in fractional coordinates, are Ti at (0.0000, 0.0000, 0.0000), Cr at (0.0000, 0.0000, 0.5000) and Bi at (0.2500, 0.2500, 0.2500).

The volume is 20.31 Å³ per atom.

***

*x*
Entry from Alexandria via LeMat-Bulk: crystalline TiCrBi2 at its relaxed geometry (GGA-PBE).

The structure belongs to space group I-42d (No. 122); the cell edges are 7.7565, 7.7565 and 6.5619 Å and the angles 90.00°, 90.00° and 90.00°. The distinct sites, in fractional coordinates, are Ti at (0.0000, 0.0000, 0.0000), Cr at (0.0000, 0.0000, 0.5000) and Bi at (0.2432, 0.2500, 0.6250).

The volume is 24.67 Å³ per atom.

***

Least stable: *w*

***

*w*
Entry from Alexandria via LeMat-Bulk: crystalline Tl2CrBi at its relaxed geometry (GGA-PBE).

The structure belongs to space group I-42d (No. 122); the cell edges are 4.4119, 4.4119 and 22.9643 Å and the angles 90.00°, 90.00° and 90.00°. The distinct sites, in fractional coordinates, are Tl at (0.2407, 0.2500, 0.1250), Cr at (0.0000, 0.0000, 0.0000) and Bi at (0.0000, 0.0000, 0.5000).

The volume is 27.94 Å³ per atom.

***

*x*
Entry from Alexandria via LeMat-Bulk: crystalline Tl2CrBi at its relaxed geometry (GGA-PBE).

The structure belongs to space group Fm-3m (No. 225); the cell edges are 7.6322, 7.6322 and 7.6322 Å and the angles 90.00°, 90.00° and 90.00°. The distinct sites, in fractional coordinates, are Tl at (0.2500, 0.2500, 0.2500), Cr at (0.0000, 0.0000, 0.0000) and Bi at (0.0000, 0.0000, 0.5000).

The volume is 27.79 Å³ per atom.

***

Least stable: *x*

***

*w*
Entry from Alexandria via LeMat-Bulk: crystalline VCrBi2 at its relaxed geometry (GGA-PBE).

The structure belongs to space group I-42d (No. 122); the cell edges are 7.7396, 7.7396 and 6.6095 Å and the angles 90.00°, 90.00° and 90.00°. The distinct sites, in fractional coordinates, are V at (0.0000, 0.0000, 0.0000), Cr at (0.0000, 0.0000, 0.5000) and Bi at (0.2493, 0.2500, 0.6250).

The volume is 24.74 Å³ per atom.

***

*x*
Entry from Alexandria via LeMat-Bulk: crystalline VCrBi2 at its relaxed geometry (GGA-PBE).

The structure belongs to space group Fm-3m (No. 225); the cell edges are 7.1593, 7.1593 and 7.1593 Å and the angles 90.00°, 90.00° and 90.00°. The distinct sites, in fractional coordinates, are V at (0.0000, 0.0000, 0.0000), Cr at (0.0000, 0.0000, 0.5000) and Bi at (0.2500, 0.2500, 0.2500).

The volume is 22.93 Å³ per atom.

***

Least stable: *w*

***

*w*
Entry from Alexandria via LeMat-Bulk: crystalline CrBi2W at its relaxed geometry (GGA-PBE).

The structure belongs to space group Fm-3m (No. 225); the cell edges are 6.9596, 6.9596 and 6.9596 Å and the angles 90.00°, 90.00° and 90.00°. The distinct sites, in fractional coordinates, are Cr at (0.0000, 0.0000, 0.0000), Bi at (0.2500, 0.2500, 0.2500) and W at (0.0000, 0.0000, 0.5000).

The volume is 21.07 Å³ per atom.

***

*x*
Entry from Alexandria via LeMat-Bulk: crystalline CrBi2W at its relaxed geometry (GGA-PBE).

The structure belongs to space group I-42d (No. 122); the cell edges are 6.6252, 6.6252 and 12.0649 Å and the angles 90.00°, 90.00° and 90.00°. The distinct sites, in fractional coordinates, are Cr at (0.0000, 0.0000, 0.0000), Bi at (0.2398, 0.2500, 0.6250) and W at (0.0000, 0.0000, 0.5000).

The volume is 33.10 Å³ per atom.

***

Least stable: *x*

***

*w*
Entry from Alexandria via LeMat-Bulk: crystalline YCrBi3 at its relaxed geometry (GGA-PBE).

The structure belongs to space group Pm-3m (No. 221); the cell edges are 5.8174, 5.8174 and 5.8174 Å and the angles 90.00°, 90.00° and 90.00°. The distinct sites, in fractional coordinates, are Y at (0.0000, 0.0000, 0.0000), Cr at (0.5000, 0.5000, 0.5000) and Bi at (0.0000, 0.0000, 0.5000).

The volume is 39.37 Å³ per atom.

***

*x*
Entry from Alexandria via LeMat-Bulk: crystalline YCrBi3 at its relaxed geometry (GGA-PBE).

The structure belongs to space group Pm-3m (No. 221); the cell edges are 5.3292, 5.3292 and 5.3292 Å and the angles 90.00°, 90.00° and 90.00°. The distinct sites, in fractional coordinates, are Y at (0.0000, 0.0000, 0.0000), Cr at (0.5000, 0.5000, 0.5000) and Bi at (0.0000, 0.5000, 0.5000).

The volume is 30.27 Å³ per atom.

***

Least stable: *w*

***

*w*
Entry from Alexandria via LeMat-Bulk: crystalline ZnCr3Bi at its relaxed geometry (GGA-PBE).

The structure belongs to space group Pm-3m (No. 221); the cell edges are 4.7332, 4.7332 and 4.7332 Å and the angles 90.00°, 90.00° and 90.00°. The distinct sites, in fractional coordinates, are Zn at (0.0000, 0.0000, 0.0000), Cr at (0.0000, 0.0000, 0.5000) and Bi at (0.5000, 0.5000, 0.5000).

The volume is 21.21 Å³ per atom.

***

*x*
Entry from Alexandria via LeMat-Bulk: crystalline ZnCr3Bi at its relaxed geometry (GGA-PBE).

The structure belongs to space group Pm-3m (No. 221); the cell edges are 5.4347, 5.4347 and 5.4347 Å and the angles 90.00°, 90.00° and 90.00°. The distinct sites, in fractional coordinates, are Zn at (0.0000, 0.0000, 0.0000), Cr at (0.0000, 0.5000, 0.5000) and Bi at (0.5000, 0.5000, 0.5000).

The volume is 32.10 Å³ per atom.

***

Least stable: *x*